Below is a relaxed Ti2TlRe crystal, with properties calculated at the PBE level.

abc: 3.206 3.206 6.826
angles: 90.00 90.00 90.00
Space group P4/mmm (No. 123)
Unique sites:
Ti1 0.000 0.000 0.212
Tl1 0.500 0.500 0.500
Re1 0.500 0.500 0.000

Results
Energy relative to the lowest polymorph listed for this composition (meV per atom): 0
Energy of formation from the pure elements (eV/atom): -0.18
Density of states at the Fermi level (states/eV/cell): 1.7
Theoretical density (Mg/m³): 11.51


Below is a relaxed KZn2Co crystal, with properties calculated at the PBE level.

abc: 6.836 6.836 6.836
angles: 90.00 90.00 90.00
Space group Fm-3m (No. 225)
Unique sites:
K1 0.000 0.000 0.000
Zn1 0.250 0.250 0.250
Co1 0.000 0.000 0.500

Results
Energy relative to the lowest polymorph listed for this composition (meV per atom): 426
Energy of formation from the pure elements (eV/atom): 0.71
Density of states at the Fermi level (states/eV/cell): 37.7
Theoretical density (Mg/m³): 4.76


Below is a relaxed Sr4Zn3Cu crystal, with properties calculated at the PBE level.

abc: 4.548 4.599 11.921
angles: 90.00 90.00 90.00
Space group Pmm2 (No. 25)
Unique sites:
Sr1 0.000 0.000 0.000
Sr2 0.000 0.500 0.491
Sr3 0.500 0.000 0.709
Sr4 0.500 0.500 0.212
Zn1 0.000 0.500 0.796
Zn2 0.500 0.000 0.406
Zn3 0.500 0.500 0.913
Cu1 0.000 0.000 0.301

Results
Energy of formation from the pure elements (eV/atom): -0.17
Density of states at the Fermi level (states/eV/cell): 6.7
Theoretical density (Mg/m³): 4.06


Below is a relaxed SbBrCl2 crystal, with properties calculated at the PBE level.

abc: 4.778 4.778 7.920
angles: 90.00 90.00 90.00
Space group I-4m2 (No. 119)
Unique sites:
Sb1 0.000 0.000 0.000
Br1 0.000 0.500 0.750
Cl1 0.000 0.000 0.500
Cl2 0.000 0.500 0.250

Results
Energy relative to the lowest polymorph listed for this composition (meV per atom): 623
Theoretical density (Mg/m³): 5.01


Below is a relaxed Tb2HoHg crystal, with properties calculated at the PBE level.

abc: 3.6431 3.6431 31.4072
angles: 90.00 90.00 120.00
Space group R3m (No. 160, hexagonal axes)
Unique sites:
Tb1 0.0000 0.0000 0.0000
Tb2 0.0000 0.0000 0.1800
Ho1 0.0000 0.0000 0.4234
Hg1 0.0000 0.0000 0.5898

Results
Energy relative to the lowest polymorph listed for this composition (meV per atom): 69
Energy of formation from the pure elements (eV/atom): -0.15
Density of states at the Fermi level (states/eV/cell): 16.7
Theoretical density (Mg/m³): 9.42


Below is a relaxed Sr2Cd4AgHg3 crystal, with properties calculated at the PBE level.

abc: 4.588 4.588 12.891
angles: 90.00 90.00 90.00
Space group P-4m2 (No. 115)
Unique sites:
Sr1 0.000 0.500 0.250
Cd1 0.000 0.000 0.000
Cd2 0.000 0.500 0.635
Cd3 0.500 0.500 0.000
Ag1 0.000 0.000 0.500
Hg1 0.000 0.500 0.854
Hg2 0.500 0.500 0.500

Results
Energy of formation from the pure elements (eV/atom): -0.28
Density of states at the Fermi level (states/eV/cell): 4.7
Theoretical density (Mg/m³): 8.17


Below is a relaxed RbCo2Br crystal, with properties calculated at the PBE level.

abc: 6.898 6.898 6.898
angles: 90.00 90.00 90.00
Space group Fm-3m (No. 225)
Unique sites:
Rb1 0.000 0.000 0.000
Co1 0.250 0.250 0.250
Br1 0.000 0.000 0.500

Results
Energy relative to the lowest polymorph listed for this composition (meV per atom): 780
Density of states at the Fermi level (states/eV/cell): 36.6
Theoretical density (Mg/m³): 5.73


Below is a relaxed SrCaOs2 crystal, with properties calculated at the PBE level.

abc: 6.622 9.200 2.710
angles: 90.00 90.00 90.00
Space group Cmmm (No. 65)
Unique sites:
Sr1 0.000 0.000 0.000
Ca1 0.000 0.500 0.000
Os1 0.250 0.250 0.500

Results
Energy relative to the lowest polymorph listed for this composition (meV per atom): 519
Energy of formation from the pure elements (eV/atom): 0.92
Density of states at the Fermi level (states/eV/cell): 6.9
Theoretical density (Mg/m³): 10.22


Repeat the first record exactly.
Below is a relaxed Ti2TlRe crystal, with properties calculated at the PBE level.

abc: 3.206 3.206 6.826
angles: 90.00 90.00 90.00
Space group P4/mmm (No. 123)
Unique sites:
Ti1 0.000 0.000 0.212
Tl1 0.500 0.500 0.500
Re1 0.500 0.500 0.000

Results
Energy relative to the lowest polymorph listed for this composition (meV per atom): 0
Energy of formation from the pure elements (eV/atom): -0.18
Density of states at the Fermi level (states/eV/cell): 1.7
Theoretical density (Mg/m³): 11.51


> Which of these has the highest theoretical density?

Ti2TlRe


> Look up the theoretical density of the fifth one.

9.42 Mg/m³